A geometry-optimized AuS2N structure, computed with GGA-PBE.

Summary:
theoretical density	3.9	Mg/m³
formation energy without anion corrections	0.4149	eV per atom
volume	29.04	A^3/atom
E_tot	-4.549	eV/atom

Unit cell a=4.2673 b=4.3363 c=6.3343 alpha=89.10 beta=89.05 gamma=82.47
Fractional positions:
Au (0.5785, 0.1212, 0.4908)
S (0.4116, 0.2888, 0.0006)
S (0.7343, 0.9615, 0.1611)
N (0.4124, 0.2904, 0.7651)